{"formula": "K2NaErBr6", "functional": "PBE-GGA", "state": "relaxed", "dos_at_fermi_per_ev_fu": 0.00, "total_energy_ev_per_atom": -3.597, "cell": [[7.6997, 0.0000, 0.0316], [0.0000, 8.0881, 0.0000], [0.1132, 0.0000, 10.9861]], "species": ["Na", "Na", "Br", "Br", "Br", "Br", "Br", "Br", "Br", "Br", "Br", "Br", "Br", "Br", "Er", "Er", "K", "K", "K", "K"], "frac_coords": [[0.0000, 0.5000, 0.5000], [0.5000, 0.0000, 0.0000], [0.8160, 0.7876, 0.9446], [0.8926, 0.5291, 0.2420], [0.2921, 0.6903, 0.0516], [0.2079, 0.1903, 0.4484], [0.3926, 0.9709, 0.7420], [0.1840, 0.2124, 0.0554], [0.7079, 0.3097, 0.9484], [0.1074, 0.4709, 0.7580], [0.6840, 0.2876, 0.5554], [0.6074, 0.0291, 0.2580], [0.3160, 0.7124, 0.4446], [0.7921, 0.8097, 0.5516], [0.0000, 0.5000, 0.0000], [0.5000, 0.0000, 0.5000], [0.4737, 0.4240, 0.2463], [0.9737, 0.0760, 0.7463], [0.0263, 0.9240, 0.2537], [0.5263, 0.5760, 0.7537]]}


{"formula": "KErPbBr6", "functional": "PBE-GGA", "state": "relaxed", "dos_at_fermi_per_ev_fu": 0.00, "total_energy_ev_per_atom": -3.707, "cell": [[-1.1540, 7.4893, 0.6520], [-4.0156, -4.0421, -5.0382], [-9.9758, -2.3968, 9.8740]], "species": ["Br", "Br", "Br", "Br", "Br", "Br", "Br", "Br", "Br", "Br", "Br", "Br", "K", "K", "Pb", "Pb", "Er", "Er"], "frac_coords": [[0.6229, 0.9737, 0.8643], [0.9737, 0.6229, 0.3643], [0.3771, 0.0263, 0.1357], [0.9737, 0.3508, 0.1357], [0.3508, 0.3771, 0.8643], [0.3508, 0.9737, 0.6357], [0.6229, 0.6492, 0.6357], [0.6492, 0.0263, 0.3643], [0.0263, 0.3771, 0.6357], [0.0263, 0.6492, 0.8643], [0.6492, 0.6229, 0.1357], [0.3771, 0.3508, 0.3643], [0.0000, 0.0000, 0.0000], [0.0000, 0.0000, 0.5000], [0.3333, 0.6667, 0.2500], [0.6667, 0.3333, 0.7500], [0.6667, 0.3333, 0.2500], [0.3333, 0.6667, 0.7500]]}


{"formula": "K2RbErBr6", "functional": "PBE-GGA", "state": "relaxed", "dos_at_fermi_per_ev_fu": 0.00, "total_energy_ev_per_atom": -3.600, "cell": [[-6.0304, -2.8372, -4.3359], [1.7177, -7.8501, 2.7477], [-7.2008, 1.5168, 8.8350]], "species": ["Rb", "Rb", "K", "K", "K", "K", "Br", "Br", "Br", "Br", "Br", "Br", "Br", "Br", "Br", "Br", "Br", "Br", "Er", "Er"], "frac_coords": [[0.5000, 0.0000, 0.0000], [0.0000, 0.5000, 0.5000], [0.0339, 0.9187, 0.2554], [0.9661, 0.0813, 0.7446], [0.4661, 0.4187, 0.2446], [0.5339, 0.5813, 0.7554], [0.8591, 0.5611, 0.2194], [0.2185, 0.1728, 0.4365], [0.7815, 0.8272, 0.5635], [0.1409, 0.4389, 0.7806], [0.3591, 0.9389, 0.7194], [0.7185, 0.3272, 0.9365], [0.6409, 0.0611, 0.2806], [0.1557, 0.2260, 0.0828], [0.3443, 0.7260, 0.4172], [0.2815, 0.6728, 0.0635], [0.8443, 0.7740, 0.9172], [0.6557, 0.2740, 0.5828], [0.0000, 0.5000, 0.0000], [0.5000, 0.0000, 0.5000]]}


{"formula": "KErSn2Br8", "functional": "PBE-GGA", "state": "relaxed", "dos_at_fermi_per_ev_fu": 0.00, "total_energy_ev_per_atom": -3.530, "cell": [[-5.1681, 5.0040, 0.1758], [-1.0645, -0.6480, -6.6912], [-6.1754, -6.4349, 1.5987]], "species": ["K", "Br", "Br", "Br", "Br", "Br", "Br", "Br", "Br", "Sn", "Sn", "Er"], "frac_coords": [[0.0000, 0.0000, 0.5000], [0.6324, 0.7269, 0.5000], [0.8438, 0.2403, 0.2187], [0.3174, 0.2354, 0.0003], [0.1555, 0.7591, 0.2190], [0.6826, 0.7646, 0.9997], [0.1562, 0.7597, 0.7813], [0.8445, 0.2409, 0.7810], [0.3676, 0.2731, 0.5000], [0.4998, 0.5000, 0.2505], [0.5002, 0.5000, 0.7495], [0.0000, 0.0000, 0.0000]]}


{"formula": "KErZnBr6", "functional": "PBE-GGA", "state": "relaxed", "dos_at_fermi_per_ev_fu": 0.00, "total_energy_ev_per_atom": -3.372, "cell": [[7.0524, 0.0000, 0.0000], [-3.5262, 6.1076, 0.0000], [0.0000, 0.0000, 14.7392]], "species": ["Br", "Br", "Br", "Br", "Br", "Br", "Br", "Br", "Br", "Br", "Br", "Br", "Zn", "Zn", "K", "K", "Er", "Er"], "frac_coords": [[0.9867, 0.6224, 0.3564], [0.3643, 0.9867, 0.6436], [0.6357, 0.0133, 0.3564], [0.6357, 0.6224, 0.1436], [0.3776, 0.3643, 0.3564], [0.3643, 0.3776, 0.8564], [0.3776, 0.0133, 0.1436], [0.6224, 0.6357, 0.6436], [0.6224, 0.9867, 0.8564], [0.0133, 0.3776, 0.6436], [0.9867, 0.3643, 0.1436], [0.0133, 0.6357, 0.8564], [0.3333, 0.6667, 0.7500], [0.6667, 0.3333, 0.2500], [0.0000, 0.0000, 0.5000], [0.0000, 0.0000, 0.0000], [0.3333, 0.6667, 0.2500], [0.6667, 0.3333, 0.7500]]}


{"formula": "LaErBr", "functional": "PBE-GGA", "state": "relaxed", "dos_at_fermi_per_ev_fu": 2.56, "total_energy_ev_per_atom": -4.043, "cell": [[-3.5581, -1.6210, -0.0876], [1.2424, -2.9529, 4.1757], [-2.1774, 4.7424, 0.6847]], "species": ["La", "Br", "Er"], "frac_coords": [[0.7323, 0.6667, 0.3333], [0.0694, 0.0000, 0.0000], [0.1983, 0.3333, 0.6667]]}


no.,calculated density (kg/m³),formation energy (no corrections) (meV/atom)
1,3630,-1786.0
2,4157,-1550.5
3,3466,-1823.8
4,4054,-1275.7
5,3930,-1486.8
6,6833,-321.9